1.
Here is BeC3 at its PBEsol-relaxed geometry from Alexandria via LeMat-Bulk. Energies are from SCAN.

Distance to the lowest polymorph of the same formula: 0.000 eV per atom
Formation enthalpy at 0 K: 0.949 eV/atom
Total moment: 0.000 μB per atom
D(E_F): 0.0 states/eV/f.u.

a b c (Å): 4.4633 4.4633 5.0535
angles (deg): 90.00 90.00 120.00
Space group P6_3/mmc (No. 194)
Asymmetric unit:
Be  0.3333  0.6667  0.2500 (multiplicity 2)
C  0.1230  0.5615  0.7500 (multiplicity 6)

2.
Here is BeC3 at its PBEsol-relaxed geometry from Alexandria via LeMat-Bulk. Energies are from SCAN.

Distance to the lowest polymorph of the same formula: 0.851 eV per atom
Formation enthalpy at 0 K: 1.800 eV/atom
Total moment: 0.000 μB per atom
D(E_F): 1.1 states/eV/f.u.

a b c (Å): 2.277 6.874 5.022
angles (deg): 90.00 90.00 90.00
Space group Cmmm (No. 65)
Asymmetric unit:
Be  0.000  0.000  0.000 (multiplicity 2)
C  0.000  0.000  0.500 (multiplicity 2)
C  0.000  0.500  0.301 (multiplicity 4)

3.
Here is Be5C3 at its PBEsol-relaxed geometry from Alexandria via LeMat-Bulk. Energies are from SCAN.

Formation enthalpy at 0 K: 0.929 eV/atom
Total moment: 0.000 μB per atom
D(E_F): 1.7 states/eV/f.u.

a b c (Å): 2.618 2.618 8.191
angles (deg): 90.00 90.00 90.00
Space group P4/mmm (No. 123)
Asymmetric unit:
Be  0.000  0.000  0.000 (multiplicity 1)
Be  0.000  0.000  0.255 (multiplicity 2)
Be  0.500  0.500  0.388 (multiplicity 2)
C  0.000  0.000  0.500 (multiplicity 1)
C  0.500  0.500  0.175 (multiplicity 2)

4.
Here is Be7C at its PBEsol-relaxed geometry from Alexandria via LeMat-Bulk. Energies are from SCAN.

Formation enthalpy at 0 K: 0.406 eV/atom
Total moment: 0.000 μB per atom
D(E_F): 1.6 states/eV/f.u.

a b c (Å): 6.191 6.191 6.191
angles (deg): 90.00 90.00 90.00
Space group Fm-3m (No. 225)
Asymmetric unit:
Be  0.000  0.000  0.000 (multiplicity 4)
Be  0.000  0.250  0.250 (multiplicity 24)
C  0.000  0.000  0.500 (multiplicity 4)

5.
Here is BeC3 at its PBEsol-relaxed geometry from Alexandria via LeMat-Bulk. Energies are from SCAN.

Distance to the lowest polymorph of the same formula: 1.150 eV per atom
Formation enthalpy at 0 K: 2.100 eV/atom
Total moment: 0.000 μB per atom
D(E_F): 1.3 states/eV/f.u.

a b c (Å): 2.503 3.119 7.823
angles (deg): 90.00 90.00 90.00
Space group Immm (No. 71)
Asymmetric unit:
Be  0.000  0.000  0.000 (multiplicity 2)
C  0.000  0.000  0.500 (multiplicity 2)
C  0.000  0.500  0.131 (multiplicity 4)

6.
Here is BeC3 at its PBEsol-relaxed geometry from Alexandria via LeMat-Bulk. Energies are from SCAN.

Distance to the lowest polymorph of the same formula: 1.471 eV per atom
Formation enthalpy at 0 K: 2.420 eV/atom
Total moment: 0.000 μB per atom
D(E_F): 0.8 states/eV/f.u.

a b c (Å): 2.715 2.715 3.936
angles (deg): 90.00 90.00 90.00
Space group P4/mmm (No. 123)
Asymmetric unit:
Be  0.000  0.000  0.000 (multiplicity 1)
C  0.000  0.000  0.500 (multiplicity 1)
C  0.500  0.500  0.326 (multiplicity 2)